No. 1
Entry from the Alexandria database: a relaxed structure of Pm2Ni2B3 (PBE).

Summary:
* magnetic moment: 0.00 μB/cell
* crystal system: monoclinic
* formation enthalpy at 0 K: -1.88 eV/f.u.

Structure (CIF):
```
data_Pm2Ni2B3
_symmetry_space_group_name_H-M 'C 1 2/m 1'
_symmetry_Int_Tables_number 12
_cell_length_a 10.0785
_cell_length_b 3.8293
_cell_length_c 5.8026
_cell_angle_alpha 90.00
_cell_angle_beta 111.75
_cell_angle_gamma 90.00
loop_
_symmetry_equiv_pos_as_xyz
'x,y,z'
'-x,-y,-z'
'-x,y,-z'
'x,-y,z'
'x+1/2,y+1/2,z'
'-x+1/2,-y+1/2,-z'
'-x+1/2,y+1/2,-z'
'x+1/2,-y+1/2,z'
loop_
_atom_site_label
_atom_site_type_symbol
_atom_site_fract_x
_atom_site_fract_y
_atom_site_fract_z
_atom_site_occupancy
Pm1 Pm 0.1084 0.0000 0.2973 1
Ni1 Ni 0.2110 0.0000 0.8710 1
B1 B 0.0000 0.5000 0.5000 1
B2 B 0.1252 0.5000 0.7766 1
```

***

No. 2
Entry from the Alexandria database: a relaxed structure of Na2CaCd8 (PBE).

Summary:
* magnetic moment: 0.00 μB/cell
* crystal system: triclinic
* formation enthalpy at 0 K: -1.46 eV/f.u.

Structure (CIF):
```
data_Na2CaCd8
_symmetry_space_group_name_H-M 'P -1'
_symmetry_Int_Tables_number 2
_cell_length_a 5.8925
_cell_length_b 5.9509
_cell_length_c 7.8355
_cell_angle_alpha 93.52
_cell_angle_beta 93.66
_cell_angle_gamma 100.48
loop_
_symmetry_equiv_pos_as_xyz
'x,y,z'
'-x,-y,-z'
loop_
_atom_site_label
_atom_site_type_symbol
_atom_site_fract_x
_atom_site_fract_y
_atom_site_fract_z
_atom_site_occupancy
Na1 Na 0.1252 0.1582 0.3508 1
Ca1 Ca 0.5000 0.5000 0.0000 1
Cd1 Cd 0.0246 0.6185 0.1965 1
Cd2 Cd 0.2321 0.9430 0.9643 1
Cd3 Cd 0.3157 0.6090 0.5935 1
Cd4 Cd 0.4720 0.1300 0.6762 1
```

***

No. 3
Entry from the Alexandria database: a relaxed structure of NaOs3F (PBE).

Summary:
* magnetic moment: 1.71 μB/cell
* crystal system: cubic
* energy above the most stable polymorph in this dataset: 0 meV/atom
* formation energy without anion corrections: 1.861 eV per atom

Structure (CIF):
```
data_NaOs3F
_symmetry_space_group_name_H-M 'P m -3 m'
_symmetry_Int_Tables_number 221
_symmetry_space_group_name_Hall '-P 4 2 3'
_cell_length_a 4.2972
_cell_length_b 4.2972
_cell_length_c 4.2972
_cell_angle_alpha 90.00
_cell_angle_beta 90.00
_cell_angle_gamma 90.00
loop_
_atom_site_label
_atom_site_type_symbol
_atom_site_fract_x
_atom_site_fract_y
_atom_site_fract_z
_atom_site_occupancy
Na1 Na 0.0000 0.0000 0.0000 1
Os1 Os 0.0000 0.5000 0.5000 1
F1 F 0.5000 0.5000 0.5000 1
```

***

No. 4
Entry from the Alexandria database: a relaxed structure of ZrNiAg (PBE).

Summary:
* magnetic moment: 0.00 μB/cell
* crystal system: cubic
* energy above the most stable polymorph in this dataset: 292 meV/atom
* formation enthalpy at 0 K: 0.13 eV/f.u.

Structure (CIF):
```
data_ZrNiAg
_symmetry_space_group_name_H-M 'F -4 3 m'
_symmetry_Int_Tables_number 216
_symmetry_space_group_name_Hall 'F -4 2 3'
_cell_length_a 6.1123
_cell_length_b 6.1123
_cell_length_c 6.1123
_cell_angle_alpha 90.00
_cell_angle_beta 90.00
_cell_angle_gamma 90.00
loop_
_atom_site_label
_atom_site_type_symbol
_atom_site_fract_x
_atom_site_fract_y
_atom_site_fract_z
_atom_site_occupancy
Zr1 Zr 0.0000 0.0000 0.0000 1
Ni1 Ni 0.2500 0.2500 0.7500 1
Ag1 Ag 0.0000 0.0000 0.5000 1
```

***

> Number 3 is which compound?

NaOs3F